a | DFT (GGA-PBE) results for an optimized crystal structure of Th4RhAu.

The volume is 33.5 Å³/atom. The calculation puts the total magnetic moment at 0.00 μB per formula unit. For the density of states at the Fermi level, the calculation gives 42.62 states/eV/cell.

Unit cell a=9.5095 b=9.5095 c=8.8873 alpha=90.00 beta=90.00 gamma=90.00
Closest atoms and distances in Å follow each position.
Space group I4_1md (No. 109)
One atom of each set of equivalent atoms:
Th1 0.0000 0.2943 0.0000 [8 per cell]  2 Rh 2.81, 1 Au 3.04
Th2 0.0000 0.3024 0.4647 [8 per cell]  1 Rh 2.83, 2 Au 2.88-3.07
Rh1 0.0000 0.0000 0.9764 [4 per cell]  6 Th 2.81-2.83
Au1 0.0000 0.0000 0.4883 [4 per cell]  6 Th 2.88-3.07


b | DFT (GGA-PBE) results for an optimized crystal structure of Th4RhAu.

The volume is 27.1 Å³/atom. The calculation puts the total magnetic moment at 0.00 μB per formula unit. For the density of states at the Fermi level, the calculation gives 14.65 states/eV/cell.

Unit cell a=7.3287 b=7.3287 c=6.0530 alpha=90.00 beta=90.00 gamma=90.00
Closest atoms and distances in Å follow each position.
Space group P4/mcc (No. 124)
One atom of each set of equivalent atoms:
Th1 0.1543 0.3291 0.0000 [8 per cell]  2 Rh 3.06, 2 Au 3.21, 1 Th 3.37
Rh1 0.0000 0.0000 0.2500 [2 per cell]  2 Rh 3.03, 8 Th 3.06
Au1 0.5000 0.5000 0.2500 [2 per cell]  2 Au 3.03, 8 Th 3.21


Looking at the structures above, b is most stable, and the difference to the next one is 37.6 kJ/mol of atoms.